Entry from Alexandria: an optimized crystal structure of BaTeBr2 (PBE-GGA).

```
BaTeBr2
1.0
5.864 0.000 0.000
0.000 5.025 -0.058
0.000 3.132 5.197
Ba Br Te
1 2 1
direct
0.500 0.961 0.733
0.500 0.236 0.130
0.000 0.818 0.064
0.000 0.485 0.573
```

Properties
- ΔE_f (raw): -1.302 eV/atom
- Space group: No. 6
- Offset from the most stable computed form: 38 meV per atom